Li2Mg2IrPdPb2 | PBE | optimized geometry

Properties
total DFT energy (no corrections): -3.88 eV/atom

Unit cell a=4.6645 b=4.6645 c=6.6118 alpha=90.00 beta=90.00 gamma=90.00
Space group P-4m2 (No. 115)
One atom of each set of equivalent atoms:
Li  0.0000  0.0000  0.0000 [1 per cell]
Li  0.5000  0.5000  0.5000 [1 per cell]
Mg  0.0000  0.5000  0.2424 [2 per cell]
Ir  0.5000  0.5000  0.0000 [1 per cell]
Pd  0.0000  0.0000  0.5000 [1 per cell]
Pb  0.0000  0.5000  0.7531 [2 per cell]